Material: ErFe3Co
Method: DFT, PBE
State: optimized geometry

Summary:
As for the space-group type: Amm2, No. 38. The density of states at the Fermi level comes out at 1.582 states/eV/atom.

Unit cell a=3.436 b=4.991 c=4.991 alpha=58.44 beta=90.00 gamma=90.00
Fractional coordinates of all 5 atoms:
Er 0.000 0.000 0.000
Fe 0.000 0.329 0.329
Fe 0.500 0.510 0.975
Fe 0.500 0.975 0.510
Co 0.500 0.507 0.507

***

Material: ZnCu2Ni5
Method: DFT, PBE
State: optimized geometry

Summary:
As for the space-group type: Pbam, No. 55. For the relative energy among the computed polymorphs, the calculation gives 6 meV/atom. The density of states at the Fermi level comes out at 1.373 states/eV/atom.

Unit cell a=5.052 b=10.096 c=3.569 alpha=90.00 beta=90.00 gamma=90.00
Fractional coordinates of all 16 atoms:
Zn 0.000 0.000 0.000
Zn 0.500 0.500 0.000
Cu 0.245 0.374 0.500
Cu 0.255 0.874 0.500
Cu 0.745 0.126 0.500
Cu 0.755 0.626 0.500
Ni 0.000 0.500 0.000
Ni 0.004 0.748 0.000
Ni 0.250 0.127 0.500
Ni 0.250 0.627 0.500
Ni 0.496 0.248 0.000
Ni 0.500 0.000 0.000
Ni 0.504 0.752 0.000
Ni 0.750 0.373 0.500
Ni 0.750 0.873 0.500
Ni 0.996 0.252 0.000

***

Values for VASP energy, Ry per atom, ordered as above
-0.531; -0.355
Values for formation energy, eV per atom, ordered as above
0.193; -0.033